## Ca3CdAs3 (PBE)

Data for crystalline Ca3CdAs3 at its relaxed geometry.

## Properties
Total DFT energy (no corrections), eV/atom: -3.83
Calculated formation energy, eV/atom: -0.8507

Lattice parameters (Å, degrees): 7.2649 9.6337 11.8089 90.00 90.00 112.15
Sites, in units of the cell vectors:
Ca 0.6613 0.0000 0.8616
Ca 0.8387 0.0000 0.3616
Ca 0.1613 0.0000 0.6384
Ca 0.3387 0.0000 0.1384
Ca 0.9925 0.6535 0.3706
Ca 0.5075 0.3465 0.8706
Ca 0.8390 0.3465 0.1294
Ca 0.6610 0.6535 0.6294
Ca 0.0075 0.3465 0.6294
Ca 0.4925 0.6535 0.1294
Ca 0.1610 0.6535 0.8706
Ca 0.3390 0.3465 0.3706
Cd 0.4094 0.8188 0.5000
Cd 0.0906 0.1812 0.0000
Cd 0.5906 0.1812 0.5000
Cd 0.9094 0.8188 0.0000
As 0.2475 0.0000 0.8833
As 0.2525 0.0000 0.3833
As 0.7475 0.0000 0.6167
As 0.7525 0.0000 0.1167
As 0.5871 0.6716 0.3758
As 0.9129 0.3284 0.8758
As 0.4155 0.3284 0.1242
As 0.0845 0.6716 0.6242
As 0.4129 0.3284 0.6242
As 0.0871 0.6716 0.1242
As 0.5845 0.6716 0.8758
As 0.9155 0.3284 0.3758

***

## SrLa3In4 (PBE)

Data for crystalline SrLa3In4 at its relaxed geometry.

## Properties
Total DFT energy (no corrections), eV/atom: -3.91
Calculated formation energy, eV/atom: -0.4812

Lattice parameters (Å, degrees): 5.6219 7.9712 11.2443 90.00 90.00 90.00
Sites, in units of the cell vectors:
Sr 0.0000 0.5000 0.0000
Sr 0.0000 0.5000 0.5000
In 0.5000 0.7520 0.0000
In 0.5000 0.7520 0.5000
In 0.5000 0.2480 0.0000
In 0.5000 0.2480 0.5000
In 0.0028 0.7520 0.7500
In 0.9972 0.7520 0.2500
In 0.9972 0.2480 0.2500
In 0.0028 0.2480 0.7500
La 0.0000 0.0000 0.0000
La 0.0000 0.0000 0.5000
La 0.5023 0.0000 0.7500
La 0.4977 0.0000 0.2500
La 0.5021 0.5000 0.7500
La 0.4979 0.5000 0.2500

***

## DyYBi2O6 (PBE)

Data for crystalline DyYBi2O6 at its relaxed geometry.

## Properties
Total DFT energy (no corrections), eV/atom: -7.22
Formation energy without anion corrections, eV/atom: -2.366

Lattice parameters (Å, degrees): 6.0298 6.0298 6.1693 60.75 60.75 59.99
Sites, in units of the cell vectors:
Dy 0.3084 0.3083 0.0749
Y 0.8082 0.8083 0.5753
Bi 0.5216 0.5217 0.4350
Bi 0.0216 0.0215 0.9351
O 0.6223 0.1783 0.2489
O 0.1782 0.9506 0.2489
O 0.9506 0.6224 0.2487
O 0.4501 0.6775 0.7495
O 0.6775 0.1230 0.7495
O 0.1231 0.4501 0.7494

***

## IrPd2Se4 (PBE)

Data for crystalline IrPd2Se4 at its relaxed geometry.

## Properties
Relative energy among the computed polymorphs, meV per atom: 297.3
Total DFT energy (no corrections), eV/atom: -4.43
Formation energy without anion corrections, eV/atom: 0.313

Lattice parameters (Å, degrees): 5.0559 5.0559 7.0475 68.98 68.98 90.00
Sites, in units of the cell vectors:
Ir 0.0000 0.0000 0.0000
Se 0.1977 0.1977 0.6046
Se 0.8023 0.8023 0.3954
Se 0.0000 0.5000 0.0000
Se 0.5000 0.0000 0.0000
Pd 0.3926 0.3926 0.2148
Pd 0.6074 0.6074 0.7852

***

## YTi2TeP (PBE)

Data for crystalline YTi2TeP at its relaxed geometry.

## Properties
Total DFT energy (no corrections), eV/atom: -5.57
Formation energy without anion corrections, eV/atom: 0.592

Lattice parameters (Å, degrees): 4.9577 5.4041 4.9577 90.00 90.00 90.00
Sites, in units of the cell vectors:
Y 0.5000 0.5000 0.5000
P 0.0000 0.5000 0.0000
Te 0.0000 0.0000 0.0000
Ti 0.0000 0.0000 0.5000
Ti 0.5000 0.0000 0.0000

***

## Si2PdPt4 (PBE)

Data for crystalline Si2PdPt4 at its relaxed geometry.

## Properties
Total DFT energy (no corrections), eV/atom: -6.35
Formation energy without anion corrections, eV/atom: -0.604

Lattice parameters (Å, degrees): 3.9976 6.5164 16.2868 90.00 90.00 90.00
Sites, in units of the cell vectors:
Si 0.2500 0.7700 0.5492
Si 0.7500 0.2300 0.4508
Si 0.7500 0.2700 0.9508
Si 0.2500 0.7300 0.0492
Si 0.2500 0.8430 0.7959
Si 0.7500 0.1570 0.2041
Si 0.7500 0.3430 0.7041
Si 0.2500 0.6570 0.2959
Pd 0.7500 0.8846 0.6369
Pd 0.2500 0.1154 0.3631
Pd 0.2500 0.3846 0.8631
Pd 0.7500 0.6154 0.1369
Pt 0.2500 0.1411 0.7071
Pt 0.7500 0.8589 0.2929
Pt 0.7500 0.6411 0.7929
Pt 0.2500 0.3589 0.2071
Pt 0.2500 0.5783 0.6753
Pt 0.7500 0.4217 0.3247
Pt 0.7500 0.0783 0.8247
Pt 0.2500 0.9217 0.1753
Pt 0.2500 0.1405 0.5379
Pt 0.7500 0.8595 0.4621
Pt 0.7500 0.6405 0.9621
Pt 0.2500 0.3595 0.0379
Pt 0.2500 0.5271 0.4380
Pt 0.7500 0.4729 0.5620
Pt 0.7500 0.0271 0.0620
Pt 0.2500 0.9729 0.9380

***

## Sr2Ca2P (PBE)

Data for crystalline Sr2Ca2P at its relaxed geometry.

## Properties
Relative energy among the computed polymorphs, meV per atom: 566.5
Total DFT energy (no corrections), eV/atom: -2.22
Calculated formation energy, eV/atom: 0.3396

Lattice parameters (Å, degrees): 4.4164 4.4164 10.2672 77.58 77.58 90.00
Sites, in units of the cell vectors:
Sr 0.7500 0.2500 0.5000
Sr 0.2500 0.7500 0.5000
Ca 0.4227 0.4227 0.1547
Ca 0.5773 0.5773 0.8453
P 0.0000 0.0000 0.0000

***

## Pm3YS4 (PBE)

Data for crystalline Pm3YS4 at its relaxed geometry.

## Properties
Relative energy among the computed polymorphs, meV per atom: 19.5
Total DFT energy (no corrections), eV/atom: -6.66
Formation energy without anion corrections, eV/atom: -2.007

Lattice parameters (Å, degrees): 5.6678 5.6678 5.6678 90.00 90.00 90.00
Sites, in units of the cell vectors:
Pm 0.0000 0.5000 0.5000
Pm 0.5000 0.0000 0.5000
Pm 0.5000 0.5000 0.0000
Y 0.0000 0.0000 0.0000
S 0.5000 0.0000 0.0000
S 0.0000 0.5000 0.0000
S 0.0000 0.0000 0.5000
S 0.5000 0.5000 0.5000

***

## Rb6Fe3I14 (PBE)

Data for crystalline Rb6Fe3I14 at its relaxed geometry.

## Properties
Total DFT energy (no corrections), eV/atom: -3.16
Formation energy without anion corrections, eV/atom: -0.855

Lattice parameters (Å, degrees): 7.2385 13.2027 13.2027 120.00 90.00 90.00
Sites, in units of the cell vectors:
Rb 0.2564 0.7950 0.1004
Rb 0.2564 0.8996 0.6946
Rb 0.2564 0.3054 0.2050
Rb 0.7592 0.5381 0.5629
Rb 0.7592 0.4371 0.9752
Rb 0.7592 0.0248 0.4619
Fe 0.8335 0.0000 0.0000
Fe 0.3380 0.3333 0.6667
Fe 0.4879 0.6667 0.3333
I 0.9538 0.0740 0.2106
I 0.9538 0.7894 0.8634
I 0.9538 0.1366 0.9260
I 0.4573 0.2562 0.4559
I 0.4573 0.5441 0.8003
I 0.4573 0.1997 0.7438
I 0.4769 0.0000 0.0000
I 0.9810 0.3333 0.6667
I 0.7121 0.7393 0.2020
I 0.7121 0.7980 0.5372
I 0.7121 0.4628 0.2607
I 0.2698 0.5950 0.4661
I 0.2698 0.5339 0.1289
I 0.2698 0.8711 0.4050

***

## ZrGaN2O (PBE)

Data for crystalline ZrGaN2O at its relaxed geometry.

## Properties
Total DFT energy (no corrections), eV/atom: -6.97
Formation energy without anion corrections, eV/atom: -0.329

Lattice parameters (Å, degrees): 3.8015 3.7964 3.8015 90.00 90.00 90.00
Sites, in units of the cell vectors:
O 0.0000 0.5000 0.0000
Ga 0.0000 0.0000 0.0000
Zr 0.5000 0.5000 0.5000
N 0.0000 0.0000 0.5000
N 0.5000 0.0000 0.0000

***

## YPa3Pt4 (PBE)

Data for crystalline YPa3Pt4 at its relaxed geometry.

## Properties
Total DFT energy (no corrections), eV/atom: -8.41
Calculated formation energy, eV/atom: -1.0240

Lattice parameters (Å, degrees): 7.2640 7.2590 7.4205 75.02 104.99 105.39
Sites, in units of the cell vectors:
Y 0.7855 0.0063 0.8143
Y 0.2145 0.9937 0.1857
Pa 0.7412 0.9640 0.3205
Pa 0.2588 0.0360 0.6795
Pa 0.7084 0.4977 0.6829
Pa 0.7576 0.5407 0.1780
Pa 0.2916 0.5023 0.3171
Pa 0.2424 0.4593 0.8220
Pt 0.9783 0.2839 0.5114
Pt 0.5330 0.2214 0.9818
Pt 0.5415 0.2206 0.4295
Pt 0.9667 0.2867 0.0744
Pt 0.0333 0.7133 0.9256
Pt 0.4585 0.7794 0.5705
Pt 0.4670 0.7786 0.0182
Pt 0.0217 0.7161 0.4886

***

| no. | N(E_F) (states/eV per atom) |
| --- | --- |
| 1 | 0.693 |
| 2 | 0.797 |
| 3 | 0.000 |
| 4 | 1.114 |
| 5 | 0.800 |
| 6 | 0.365 |
| 7 | 1.372 |
| 8 | 0.547 |
| 9 | 0.461 |
| 10 | 0.473 |
| 11 | 1.283 |